Record 1
{
  "formula": "SiCl",
  "functional": "GGA-PBE",
  "state": "optimized geometry",
  "lattice": [[-4.5514, 0.9385, -6.0401], [-1.4482, -3.2992, -6.7154], [0.8356, 0.2305, 7.5715]],
  "species": ["Cl", "Cl", "Si", "Si"],
  "frac_coords": [[0.2422, 0.7422, 0.5000], [0.0078, 0.0078, 0.0000], [0.6974, 0.1974, 0.5000], [0.5526, 0.5526, 0.0000]],
  "e_form_raw_ev_per_fu": 0.4,
  "polymorph_energy_mev_per_atom": 881.2,
  "vol_a3_per_atom": 24.3,
  "density_g_cm3": 2.2,
  "crystal_system": "orthorhombic",
  "n_ef_per_ev_cell": 2.10
}

=====

Record 2
{
  "formula": "Sc3Si4Ni4",
  "functional": "GGA-PBE",
  "state": "optimized geometry",
  "lattice": [[-2.2483, -1.6347, 2.8197], [-0.8303, -2.5337, -2.1315], [7.8635, -8.3882, 4.1820]],
  "species": ["Ni", "Ni", "Ni", "Ni", "Sc", "Sc", "Sc", "Si", "Si", "Si", "Si"],
  "frac_coords": [[0.9046, 0.4035, 0.1916], [0.2544, 0.2544, 0.4911], [0.0954, 0.5965, 0.8084], [0.7456, 0.7456, 0.5089], [0.6459, 0.1457, 0.7094], [0.0000, 0.0000, 0.0000], [0.3541, 0.8543, 0.2906], [0.8088, 0.3089, 0.3816], [0.5498, 0.5505, 0.8999], [0.4502, 0.4495, 0.1001], [0.1912, 0.6911, 0.6184]],
  "e_form_raw_ev_per_fu": -8.7,
  "vol_a3_per_atom": 14.7,
  "density_g_cm3": 5.0,
  "crystal_system": "triclinic",
  "n_ef_per_ev_cell": 5.97
}

=====

Record 3
{
  "formula": "SrRhN2",
  "functional": "GGA-PBE",
  "state": "optimized geometry",
  "lattice": [[-4.6538, -3.0716, 0.8086], [-2.0234, -5.0977, 1.2906], [-2.9889, -2.9952, 3.7204]],
  "species": ["Sr", "N", "N", "Rh"],
  "frac_coords": [[0.0000, 0.0000, 0.0000], [0.2270, 0.2270, 0.2270], [0.7730, 0.7730, 0.7730], [0.5000, 0.5000, 0.5000]],
  "e_form_raw_ev_per_fu": 0.0,
  "polymorph_energy_mev_per_atom": 56.1,
  "vol_a3_per_atom": 12.9,
  "density_g_cm3": 7.0,
  "crystal_system": "trigonal",
  "n_ef_per_ev_cell": 3.77
}

=====

Record 4
{
  "formula": "SnHg2Br8",
  "functional": "GGA-PBE",
  "state": "optimized geometry",
  "lattice": [[-6.5909, -3.0016, 1.2538], [5.5006, -4.2212, -2.7335], [1.6630, 0.7055, 10.4309]],
  "species": ["Hg", "Hg", "Br", "Br", "Br", "Br", "Br", "Br", "Br", "Br", "Sn"],
  "frac_coords": [[0.3312, 0.6624, 0.4439], [0.6688, 0.3376, 0.5561], [0.5499, 0.0998, 0.6975], [0.1888, 0.3775, 0.5524], [0.6233, 0.7310, 0.8778], [0.1078, 0.7310, 0.8778], [0.8922, 0.2690, 0.1222], [0.4501, 0.9002, 0.3025], [0.3767, 0.2690, 0.1222], [0.8112, 0.6225, 0.4476], [0.0000, 0.0000, 0.0000]],
  "e_form_raw_ev_per_fu": -4.5,
  "polymorph_energy_mev_per_atom": 66.1,
  "vol_a3_per_atom": 43.4,
  "density_g_cm3": 4.0,
  "crystal_system": "monoclinic"
}

=====

Record 5
{
  "formula": "NiSbAs",
  "functional": "GGA-PBE",
  "state": "optimized geometry",
  "lattice": [[-2.5959, 3.3751, 0.8455], [-0.9664, 1.0195, 4.1075], [1.6362, 3.6032, 1.7846]],
  "species": ["As", "Ni", "Sb"],
  "frac_coords": [[0.5000, 0.5000, 0.5000], [0.7500, 0.7500, 0.7500], [0.0000, 0.0000, 0.0000]],
  "e_form_raw_ev_per_fu": -0.3,
  "vol_a3_per_atom": 19.3,
  "density_g_cm3": 7.3,
  "crystal_system": "cubic",
  "n_ef_per_ev_cell": 0.90
}

=====

Record 6
{
  "formula": "SmPd3Pt2",
  "functional": "GGA-PBE",
  "state": "optimized geometry",
  "lattice": [[-2.7936, 4.7357, 1.7014], [-3.2576, -0.1283, 4.7431], [3.6757, 3.4704, 6.1104]],
  "species": ["Pd", "Pd", "Pd", "Pd", "Pd", "Pd", "Pt", "Pt", "Pt", "Pt", "Sm", "Sm"],
  "frac_coords": [[0.2789, 0.2789, 0.6746], [0.7676, 0.2789, 0.6746], [0.7211, 0.2324, 0.3254], [0.2789, 0.7676, 0.6746], [0.7211, 0.7211, 0.3254], [0.2324, 0.7211, 0.3254], [0.5000, 0.0000, 0.0000], [0.0000, 0.0000, 0.0000], [0.5000, 0.5000, 0.0000], [0.0000, 0.5000, 0.0000], [0.2193, 0.2193, 0.3420], [0.7807, 0.7807, 0.6580]],
  "polymorph_energy_mev_per_atom": 40.8,
  "e_form_ev_per_fu": -3.261,
  "vol_a3_per_atom": 17.2,
  "density_g_cm3": 13.8,
  "crystal_system": "trigonal",
  "n_ef_per_ev_cell": 12.42
}

=====

Number 1: M_tot 0.00 μB/cell. Number 2: M_tot 0.00 μB/cell. Number 3: M_tot 0.00 μB/cell. Number 4: M_tot 0.00 μB/cell. Number 5: M_tot 0.00 μB/cell. Number 6: M_tot 0.00 μB/cell.